This record from Alexandria describes an optimized crystal structure of Pr2Ni4SbP3. The functional is PBE-GGA.

a = 4.125 Å, b = 4.125 Å, c = 9.686 Å
α = 90.00°, β = 90.00°, γ = 90.00°
Space group P-4m2 (No. 115)
Inequivalent atoms, fractional coordinates:
Pr  0.000  0.500  0.233 [2 per cell]
Ni  0.000  0.000  0.000 [1 per cell]
Ni  0.000  0.500  0.641 [2 per cell]
Ni  0.500  0.500  0.000 [1 per cell]
Sb  0.000  0.000  0.500 [1 per cell]
P  0.000  0.500  0.878 [2 per cell]
P  0.500  0.500  0.500 [1 per cell]

Results
crystal system: tetragonal
Fermi-level density of states: 4.3 states/eV/f.u.
formation energy (no corrections): -0.82 eV per atom